[1]
# Rb3SrRe

Rb3SrRe after structural relaxation (PBE, Alexandria).

Calculated values
ΔE to the lowest computed polymorph: 0 meV per atom
ΔE_f: 1.41 eV per atom
Space-group type: Pm-3m, No. 221
Magnetization: 2.29 μB per formula unit

Unit cell a=6.884 b=6.884 c=6.884 alpha=90.00 beta=90.00 gamma=90.00
Site moments in Bohr magnetons follow the coordinates.
Element x y z (fractional)
Re 0.000 0.000 0.000  2.88
Rb 0.000 0.500 0.000  -0.01
Rb 0.000 0.000 0.500  -0.01
Rb 0.500 0.000 0.000  -0.01
Sr 0.500 0.500 0.500  -0.05

[2]
# RbSrRe3

RbSrRe3 after structural relaxation (PBE, Alexandria).

Calculated values
ΔE to the lowest computed polymorph: 113 meV per atom
ΔE_f: 3.66 eV per atom
Space-group type: Pm-3m, No. 221
Magnetization: 5.11 μB per formula unit

Unit cell a=5.145 b=5.145 c=5.145 alpha=90.00 beta=90.00 gamma=90.00
Site moments in Bohr magnetons follow the coordinates.
Element x y z (fractional)
Re 0.000 0.500 0.000  1.48
Re 0.000 0.000 0.500  1.36
Re 0.500 0.000 0.000  1.49
Rb 0.500 0.500 0.500  0.03
Sr 0.000 0.000 0.000  0.01

[3]
# Rb2SrReTe

Rb2SrReTe after structural relaxation (PBE, Alexandria).

Calculated values
Space-group type: P4/mmm, No. 123
Formation energy (no corrections): 0.85 eV per atom
Magnetization: 4.50 μB per formula unit

Unit cell a=6.805 b=6.286 c=6.805 alpha=90.00 beta=90.00 gamma=90.00
Site moments in Bohr magnetons follow the coordinates.
Element x y z (fractional)
Re 0.500 0.500 0.500  3.53
Te 0.000 0.000 0.000  0.01
Rb 0.000 0.000 0.500  0.01
Rb 0.500 0.000 0.000  0.00
Sr 0.000 0.500 0.000  -0.01